# 1
# Ti3PbI | Alexandria | SCAN | single point on PBEsol structure
data_Ti3PbI
_symmetry_space_group_name_H-M 'P 1'
_symmetry_Int_Tables_number 1
_cell_length_a 4.939
_cell_length_b 4.939
_cell_length_c 4.939
_cell_angle_alpha 90.00
_cell_angle_beta 90.00
_cell_angle_gamma 90.00
loop_
_symmetry_equiv_pos_as_xyz
'x,y,z'
loop_
_atom_site_label
_atom_site_fract_x
_atom_site_fract_y
_atom_site_fract_z
I1 0.000 0.000 0.000
Ti1 0.000 0.500 0.000
Ti2 0.000 0.000 0.500
Pb1 0.500 0.500 0.500
Ti3 0.500 0.000 0.000
# DFT total energy	-156.5	eV for the cell shown
# SG	Pm-3m (221)
# D(E_F)	4.540	states/eV/cell
# formation energy from raw total energies	816	meV per atom

# 2
# Tl2PbI2 | Alexandria | SCAN | single point on PBEsol structure
data_Tl2PbI2
_symmetry_space_group_name_H-M 'P 1'
_symmetry_Int_Tables_number 1
_cell_length_a 6.453
_cell_length_b 6.453
_cell_length_c 6.453
_cell_angle_alpha 120.00
_cell_angle_beta 120.00
_cell_angle_gamma 90.00
loop_
_symmetry_equiv_pos_as_xyz
'x,y,z'
loop_
_atom_site_label
_atom_site_fract_x
_atom_site_fract_y
_atom_site_fract_z
I1 0.250 0.750 0.500
I2 0.750 0.250 0.500
Tl1 0.336 0.336 0.672
Tl2 0.664 0.664 0.328
Pb1 0.000 0.000 0.000
# DFT total energy	-294.6	eV for the cell shown
# SG	I4/mmm (139)
# D(E_F)	2.502	states/eV/cell
# formation energy from raw total energies	-133	meV per atom

# 3
# Tl3PbI5 | Alexandria | SCAN | single point on PBEsol structure
data_Tl3PbI5
_symmetry_space_group_name_H-M 'P 1'
_symmetry_Int_Tables_number 1
_cell_length_a 8.780
_cell_length_b 9.496
_cell_length_c 15.869
_cell_angle_alpha 90.00
_cell_angle_beta 90.00
_cell_angle_gamma 90.00
loop_
_symmetry_equiv_pos_as_xyz
'x,y,z'
loop_
_atom_site_label
_atom_site_fract_x
_atom_site_fract_y
_atom_site_fract_z
I1 0.913 0.002 0.023
I2 0.094 0.061 0.610
Tl1 0.072 0.332 0.025
Tl2 0.572 0.168 0.975
Tl3 0.559 0.095 0.288
Tl4 0.781 0.298 0.555
Tl5 0.281 0.202 0.445
Tl6 0.219 0.798 0.945
Pb1 0.426 0.040 0.707
I3 0.226 0.155 0.854
I4 0.917 0.145 0.367
I5 0.587 0.998 0.523
I6 0.774 0.655 0.646
I7 0.083 0.645 0.133
I8 0.087 0.502 0.477
Tl7 0.941 0.905 0.788
I9 0.733 0.214 0.778
Tl8 0.719 0.702 0.055
Pb2 0.074 0.960 0.207
I10 0.413 0.498 0.977
Tl9 0.428 0.668 0.525
Tl10 0.059 0.405 0.712
I11 0.594 0.439 0.390
I12 0.583 0.855 0.867
I13 0.726 0.345 0.146
I14 0.267 0.714 0.722
I15 0.233 0.286 0.222
I16 0.417 0.355 0.633
Tl11 0.928 0.832 0.475
Pb3 0.574 0.540 0.793
I17 0.406 0.939 0.110
I18 0.906 0.561 0.890
Pb4 0.926 0.460 0.293
I19 0.767 0.786 0.278
Tl12 0.441 0.595 0.212
I20 0.274 0.845 0.354
# DFT total energy	-1929.4	eV for the cell shown
# SG	P2_12_12_1 (19)
# D(E_F)	0.000	states/eV/cell
# formation energy from raw total energies	-643	meV per atom

# 4
# Tl6PbI10 | Alexandria | SCAN | single point on PBEsol structure
data_Tl6PbI10
_symmetry_space_group_name_H-M 'P 1'
_symmetry_Int_Tables_number 1
_cell_length_a 10.386
_cell_length_b 10.386
_cell_length_c 13.090
_cell_angle_alpha 90.00
_cell_angle_beta 90.00
_cell_angle_gamma 120.00
loop_
_symmetry_equiv_pos_as_xyz
'x,y,z'
loop_
_atom_site_label
_atom_site_fract_x
_atom_site_fract_y
_atom_site_fract_z
Tl1 0.026 0.635 0.248
Tl2 0.391 0.365 0.748
Tl3 0.626 0.625 0.500
I1 0.262 0.261 0.999
I2 0.996 0.260 0.250
I3 0.333 0.667 0.637
I4 0.333 0.667 0.392
I5 0.000 0.739 0.499
I6 0.000 0.738 0.999
I7 0.667 0.333 0.608
Tl4 0.001 0.375 0.000
Tl5 0.625 0.626 0.000
I8 0.261 0.262 0.499
I9 0.736 0.740 0.750
I10 0.667 0.333 0.137
I11 0.667 0.333 0.360
Tl6 0.609 0.974 0.248
Pb1 0.000 0.000 0.624
I12 0.739 0.000 0.999
I13 0.260 0.996 0.750
Tl7 0.974 0.609 0.748
I14 0.740 0.736 0.250
I15 0.333 0.667 0.860
I16 0.667 0.333 0.892
Tl8 0.375 0.001 0.500
Tl9 0.374 0.999 0.000
Tl10 0.635 0.026 0.748
Tl11 0.365 0.391 0.248
I17 0.738 0.000 0.499
I18 0.004 0.264 0.750
Pb2 0.000 0.000 0.124
I19 0.264 0.004 0.250
I20 0.333 0.667 0.108
Tl12 0.999 0.374 0.500
# DFT total energy	-1774.7	eV for the cell shown
# SG	P31c (159)
# formation energy from raw total energies	-587	meV per atom

# 5
# PdI2 | Alexandria | SCAN | single point on PBEsol structure
data_PdI2
_symmetry_space_group_name_H-M 'P 1'
_symmetry_Int_Tables_number 1
_cell_length_a 6.779
_cell_length_b 6.815
_cell_length_c 8.233
_cell_angle_alpha 90.00
_cell_angle_beta 90.00
_cell_angle_gamma 106.21
loop_
_symmetry_equiv_pos_as_xyz
'x,y,z'
loop_
_atom_site_label
_atom_site_fract_x
_atom_site_fract_y
_atom_site_fract_z
I1 0.988 0.728 0.099
Pd1 0.757 0.995 0.625
I2 0.466 0.249 0.153
I3 0.466 0.749 0.347
I4 0.012 0.272 0.901
Pd2 0.757 0.495 0.875
Pd3 0.243 0.505 0.125
I5 0.534 0.251 0.653
I6 0.988 0.228 0.401
Pd4 0.243 0.005 0.375
I7 0.012 0.772 0.599
I8 0.534 0.751 0.847
# DFT total energy	-427.9	eV for the cell shown
# SG	P2_1/c (14)
# formation energy from raw total energies	-241	meV per atom

# 6
# Rb2SbPdI | Alexandria | SCAN | single point on PBEsol structure
data_Rb2SbPdI
_symmetry_space_group_name_H-M 'P 1'
_symmetry_Int_Tables_number 1
_cell_length_a 5.900
_cell_length_b 6.528
_cell_length_c 6.528
_cell_angle_alpha 90.00
_cell_angle_beta 90.00
_cell_angle_gamma 90.00
loop_
_symmetry_equiv_pos_as_xyz
'x,y,z'
loop_
_atom_site_label
_atom_site_fract_x
_atom_site_fract_y
_atom_site_fract_z
Rb1 0.000 0.500 0.000
Rb2 0.000 0.000 0.500
Sb1 0.500 0.000 0.000
I1 0.000 0.000 0.000
Pd1 0.500 0.500 0.500
# DFT total energy	-146.6	eV for the cell shown
# SG	P4/mmm (123)
# D(E_F)	3.274	states/eV/cell
# formation energy from raw total energies	325	meV per atom

# 7
# RbTaPd2I | Alexandria | SCAN | single point on PBEsol structure
data_RbTaPd2I
_symmetry_space_group_name_H-M 'P 1'
_symmetry_Int_Tables_number 1
_cell_length_a 5.114
_cell_length_b 5.078
_cell_length_c 5.078
_cell_angle_alpha 90.00
_cell_angle_beta 90.00
_cell_angle_gamma 90.00
loop_
_symmetry_equiv_pos_as_xyz
'x,y,z'
loop_
_atom_site_label
_atom_site_fract_x
_atom_site_fract_y
_atom_site_fract_z
Pd1 0.000 0.500 0.000
Ta1 0.500 0.000 0.000
Rb1 0.500 0.500 0.500
I1 0.000 0.000 0.000
Pd2 0.000 0.000 0.500
# DFT total energy	-184.2	eV for the cell shown
# SG	P4/mmm (123)
# D(E_F)	4.367	states/eV/cell
# formation energy from raw total energies	1092	meV per atom

# 8
# RbTe2PdI | Alexandria | SCAN | single point on PBEsol structure
data_RbTe2PdI
_symmetry_space_group_name_H-M 'P 1'
_symmetry_Int_Tables_number 1
_cell_length_a 6.409
_cell_length_b 6.444
_cell_length_c 6.444
_cell_angle_alpha 90.00
_cell_angle_beta 90.00
_cell_angle_gamma 90.00
loop_
_symmetry_equiv_pos_as_xyz
'x,y,z'
loop_
_atom_site_label
_atom_site_fract_x
_atom_site_fract_y
_atom_site_fract_z
Te1 0.000 0.000 0.500
Rb1 0.000 0.000 0.000
I1 0.500 0.000 0.000
Pd1 0.500 0.500 0.500
Te2 0.000 0.500 0.000
# DFT total energy	-159.4	eV for the cell shown
# SG	P4/mmm (123)
# D(E_F)	7.401	states/eV/cell
# formation energy from raw total energies	1069	meV per atom

# 9
# RbTePdI2 | Alexandria | SCAN | single point on PBEsol structure
data_RbTePdI2
_symmetry_space_group_name_H-M 'P 1'
_symmetry_Int_Tables_number 1
_cell_length_a 6.493
_cell_length_b 6.550
_cell_length_c 6.550
_cell_angle_alpha 90.00
_cell_angle_beta 90.00
_cell_angle_gamma 90.00
loop_
_symmetry_equiv_pos_as_xyz
'x,y,z'
loop_
_atom_site_label
_atom_site_fract_x
_atom_site_fract_y
_atom_site_fract_z
I1 0.000 0.500 0.000
Te1 0.500 0.000 0.000
Pd1 0.500 0.500 0.500
Rb1 0.000 0.000 0.000
I2 0.000 0.000 0.500
# DFT total energy	-160.4	eV for the cell shown
# SG	P4/mmm (123)
# D(E_F)	10.185	states/eV/cell
# formation energy from raw total energies	767	meV per atom

# 10
# RePdI3 | Alexandria | SCAN | single point on PBEsol structure
data_RePdI3
_symmetry_space_group_name_H-M 'P 1'
_symmetry_Int_Tables_number 1
_cell_length_a 5.374
_cell_length_b 5.374
_cell_length_c 5.374
_cell_angle_alpha 90.00
_cell_angle_beta 90.00
_cell_angle_gamma 90.00
loop_
_symmetry_equiv_pos_as_xyz
'x,y,z'
loop_
_atom_site_label
_atom_site_fract_x
_atom_site_fract_y
_atom_site_fract_z
I1 0.000 0.000 0.500
I2 0.500 0.000 0.000
I3 0.000 0.500 0.000
Pd1 0.000 0.000 0.000
Re1 0.500 0.500 0.500
# DFT total energy	-208.2	eV for the cell shown
# SG	Pm-3m (221)
# D(E_F)	1.978	states/eV/cell
# formation energy from raw total energies	1176	meV per atom

# 11
# Tc2PdRhI | Alexandria | SCAN | single point on PBEsol structure
data_Tc2PdRhI
_symmetry_space_group_name_H-M 'P 1'
_symmetry_Int_Tables_number 1
_cell_length_a 4.712
_cell_length_b 4.712
_cell_length_c 4.713
_cell_angle_alpha 90.00
_cell_angle_beta 90.00
_cell_angle_gamma 90.00
loop_
_symmetry_equiv_pos_as_xyz
'x,y,z'
loop_
_atom_site_label
_atom_site_fract_x
_atom_site_fract_y
_atom_site_fract_z
Pd1 0.000 0.000 0.500
Tc1 0.500 0.000 0.000
I1 0.000 0.000 0.000
Tc2 0.000 0.500 0.000
Rh1 0.500 0.500 0.500
# DFT total energy	-163.2	eV for the cell shown
# SG	P4/mmm (123)
# D(E_F)	3.649	states/eV/cell
# formation energy from raw total energies	2034	meV per atom

# 12
# Sb2TePdI | Alexandria | SCAN | single point on PBEsol structure
data_Sb2TePdI
_symmetry_space_group_name_H-M 'P 1'
_symmetry_Int_Tables_number 1
_cell_length_a 5.205
_cell_length_b 5.244
_cell_length_c 5.244
_cell_angle_alpha 90.00
_cell_angle_beta 90.00
_cell_angle_gamma 90.00
loop_
_symmetry_equiv_pos_as_xyz
'x,y,z'
loop_
_atom_site_label
_atom_site_fract_x
_atom_site_fract_y
_atom_site_fract_z
Sb1 0.000 0.000 0.500
I1 0.500 0.500 0.500
Sb2 0.000 0.500 0.000
Te1 0.500 0.000 0.000
Pd1 0.000 0.000 0.000
# DFT total energy	-179.5	eV for the cell shown
# SG	P4/mmm (123)
# D(E_F)	5.879	states/eV/cell
# formation energy from raw total energies	349	meV per atom